Entry 1:
Entry from Alexandria: crystalline V2PdSe at its relaxed geometry (PBE).

Properties
For the total DFT energy (no corrections), the calculation gives -6.640 eV per atom. Its total moment is 0.000 μB/f.u.

a = 5.538 Å, b = 5.538 Å, c = 5.538 Å
α = 103.25°, β = 103.25°, γ = 122.79°
Sites, in units of the cell vectors:
V 0.104 0.625 0.979
V 0.375 0.354 0.479
V 0.646 0.125 0.021
V 0.875 0.896 0.521
Pd 0.250 0.750 0.500
Pd 0.500 0.500 0.000
Se 0.000 0.000 0.000
Se 0.750 0.250 0.500

***

Entry 2:
Entry from Alexandria: crystalline V2PdSe2 at its relaxed geometry (PBE).

Properties
For the total DFT energy (no corrections), the calculation gives -6.217 eV per atom. Its total moment is 0.000 μB/f.u. Its energy above the lowest structure with this stoichiometry is 76 meV/atom.

a = 7.116 Å, b = 7.116 Å, c = 7.116 Å
α = 150.41°, β = 150.41°, γ = 42.34°
Sites, in units of the cell vectors:
V 0.250 0.750 0.500
V 0.750 0.250 0.500
Pd 0.000 0.000 0.000
Se 0.380 0.380 0.000
Se 0.620 0.620 0.000

***

Entry 3:
Entry from Alexandria: crystalline V2PdSe2 at its relaxed geometry (PBE).

Properties
For the total DFT energy (no corrections), the calculation gives -6.293 eV per atom. Its total moment is 2.033 μB/f.u. Its energy above the lowest structure with this stoichiometry is 0 meV/atom.

a = 7.060 Å, b = 7.060 Å, c = 3.119 Å
α = 90.00°, β = 90.00°, γ = 90.00°
Sites, in units of the cell vectors:
V 0.144 0.356 0.000
V 0.356 0.856 0.000
V 0.644 0.144 0.000
V 0.856 0.644 0.000
Pd 0.000 0.000 0.500
Pd 0.500 0.500 0.500
Se 0.151 0.651 0.500
Se 0.349 0.151 0.500
Se 0.651 0.849 0.500
Se 0.849 0.349 0.500

***

Entry 4:
Entry from Alexandria: crystalline VPd5Se4 at its relaxed geometry (PBE).

Properties
For the total DFT energy (no corrections), the calculation gives -5.141 eV per atom. Its total moment is 0.000 μB/f.u.

a = 6.972 Å, b = 8.255 Å, c = 6.773 Å
α = 90.00°, β = 90.00°, γ = 90.00°
Sites, in units of the cell vectors:
V 0.250 0.250 0.241
V 0.750 0.750 0.759
Pd 0.040 0.013 0.785
Pd 0.040 0.487 0.785
Pd 0.250 0.750 0.307
Pd 0.460 0.013 0.785
Pd 0.460 0.487 0.785
Pd 0.540 0.513 0.215
Pd 0.540 0.987 0.215
Pd 0.750 0.250 0.693
Pd 0.960 0.513 0.215
Pd 0.960 0.987 0.215
Se 0.014 0.750 0.974
Se 0.250 0.024 0.466
Se 0.250 0.476 0.466
Se 0.486 0.750 0.974
Se 0.514 0.250 0.026
Se 0.750 0.524 0.534
Se 0.750 0.976 0.534
Se 0.986 0.250 0.026

***

What did the third record say?
Entry from Alexandria: crystalline V2PdSe2 at its relaxed geometry (PBE).

Properties
For the total DFT energy (no corrections), the calculation gives -6.293 eV per atom. Its total moment is 2.033 μB/f.u. Its energy above the lowest structure with this stoichiometry is 0 meV/atom.

a = 7.060 Å, b = 7.060 Å, c = 3.119 Å
α = 90.00°, β = 90.00°, γ = 90.00°
Sites, in units of the cell vectors:
V 0.144 0.356 0.000
V 0.356 0.856 0.000
V 0.644 0.144 0.000
V 0.856 0.644 0.000
Pd 0.000 0.000 0.500
Pd 0.500 0.500 0.500
Se 0.151 0.651 0.500
Se 0.349 0.151 0.500
Se 0.651 0.849 0.500
Se 0.849 0.349 0.500

***

What did the fourth record say?
Entry from Alexandria: crystalline VPd5Se4 at its relaxed geometry (PBE).

Properties
For the total DFT energy (no corrections), the calculation gives -5.141 eV per atom. Its total moment is 0.000 μB/f.u.

a = 6.972 Å, b = 8.255 Å, c = 6.773 Å
α = 90.00°, β = 90.00°, γ = 90.00°
Sites, in units of the cell vectors:
V 0.250 0.250 0.241
V 0.750 0.750 0.759
Pd 0.040 0.013 0.785
Pd 0.040 0.487 0.785
Pd 0.250 0.750 0.307
Pd 0.460 0.013 0.785
Pd 0.460 0.487 0.785
Pd 0.540 0.513 0.215
Pd 0.540 0.987 0.215
Pd 0.750 0.250 0.693
Pd 0.960 0.513 0.215
Pd 0.960 0.987 0.215
Se 0.014 0.750 0.974
Se 0.250 0.024 0.466
Se 0.250 0.476 0.466
Se 0.486 0.750 0.974
Se 0.514 0.250 0.026
Se 0.750 0.524 0.534
Se 0.750 0.976 0.534
Se 0.986 0.250 0.026